Density functional theory data (PBE-GGA) for a relaxed structure of Ca2CdW.

Computed properties:
Calculated volume, Å³ per cell: 95.4
E, Ry/atom: -0.2812
ΔH_f (0 K), eV/atom: 0.642
Space-group type: Pmmm

Cell: 3.052 4.843 6.456 Å, 90.00 90.00 90.00°
Fractional coordinates of all 4 atoms:
1 Ca 0.000 0.000 0.513
2 Ca 0.000 0.000 0.987
3 Cd 0.500 0.500 0.250
4 W 0.500 0.500 0.750

---

Density functional theory data (PBE-GGA) for a relaxed structure of AcSF.

Computed properties:
Calculated volume, Å³ per cell: 74.6
Offset from the most stable computed form, eV/atom: 0.152
E, Ry/atom: -0.4664
Space-group type: F-43m

Cell: 4.726 4.726 4.726 Å, 60.00 60.00 60.00°
Fractional coordinates of all 3 atoms:
1 S 0.000 0.000 0.000
2 Ac 0.250 0.250 0.250
3 F 0.500 0.500 0.500

---

Density functional theory data (PBE-GGA) for a relaxed structure of YCS2.

Computed properties:
Calculated volume, Å³ per cell: 161.3
E, Ry/atom: -0.4174
Space-group type: I-42d

Cell: 5.302 5.302 6.856 Å, 67.25 67.25 90.00°
Fractional coordinates of all 8 atoms:
1 C 0.250 0.750 0.500
2 C 0.500 0.500 0.000
3 S 0.875 0.781 0.750
4 S 0.531 0.125 0.250
5 S 0.219 0.625 0.250
6 S 0.375 0.469 0.750
7 Y 0.750 0.250 0.500
8 Y 0.000 0.000 0.000

---

Density functional theory data (PBE-GGA) for a relaxed structure of CeNd2YSe6.

Computed properties:
Calculated volume, Å³ per cell: 315.5
E, Ry/atom: -0.4485
Space-group type: R3

Cell: 7.431 7.431 7.870 Å, 61.83 61.82 60.00°
Each line ends with the local moment (μB).
Fractional coordinates of all 10 atoms:
1 Se 0.709 0.118 0.756  -0.01
2 Se 0.118 0.417 0.756  -0.01
3 Se 0.604 0.213 0.253  -0.01
4 Se 0.930 0.604 0.253  -0.01
5 Se 0.213 0.930 0.253  -0.01
6 Se 0.417 0.709 0.756  -0.01
7 Nd 0.017 0.017 0.949  0.01
8 Nd 0.519 0.519 0.442  0.01
9 Y 0.318 0.318 0.045  0.00
10 Ce 0.816 0.816 0.553  0.95